## Li3Ca3Au2 (GGA-PBE)

Data for Li3Ca3Au2 after structural relaxation.

abc: 5.8641 8.0516 16.5731
angles: 90.00 90.00 90.00
Fractional coordinates of all 32 atoms:
1 Li 0.5975 0.3315 0.0329
2 Li 0.9025 0.8315 0.0329
3 Li 0.0975 0.1685 0.5329
4 Li 0.6275 0.3258 0.7500
5 Li 0.1275 0.1742 0.2500
6 Li 0.0975 0.1685 0.9671
7 Li 0.5975 0.3315 0.4671
8 Li 0.8725 0.8258 0.7500
9 Li 0.3725 0.6742 0.2500
10 Li 0.4025 0.6685 0.5329
11 Li 0.9025 0.8315 0.4671
12 Li 0.4025 0.6685 0.9671
13 Ca 0.1442 0.1626 0.7500
14 Ca 0.6098 0.0290 0.8911
15 Ca 0.6098 0.0290 0.6089
16 Ca 0.8558 0.8374 0.2500
17 Ca 0.1098 0.4710 0.1089
18 Ca 0.3902 0.9710 0.3911
19 Ca 0.6442 0.3374 0.2500
20 Ca 0.8902 0.5290 0.6089
21 Ca 0.8902 0.5290 0.8911
22 Ca 0.3902 0.9710 0.1089
23 Ca 0.3558 0.6626 0.7500
24 Ca 0.1098 0.4710 0.3911
25 Au 0.1119 0.8776 0.6140
26 Au 0.3881 0.3776 0.6140
27 Au 0.1119 0.8776 0.8860
28 Au 0.6119 0.6224 0.1140
29 Au 0.8881 0.1224 0.3860
30 Au 0.6119 0.6224 0.3860
31 Au 0.8881 0.1224 0.1140
32 Au 0.3881 0.3776 0.8860

Summary:
Its theoretical density is 4.54 g/cm³. For the calculated formation energy, the calculation gives -0.4562 eV per atom.